Entry 1:
The following is a DFT calculation (meta-GGA SCAN) of a crystal of YZn relaxed with PBEsol.

Computed properties:
energy of formation from the pure elements	-0.8	eV per formula unit
raw total energy	-21.085	eV per atom

Geometry as CIF:
```
data_YZn
_space_group_name_H-M_alt 'C m c m'
_space_group_IT_number 63
_space_group_name_Hall '-C 2c 2'
_cell_length_a 3.607
_cell_length_b 11.176
_cell_length_c 4.428
_cell_angle_alpha 90.00
_cell_angle_beta 90.00
_cell_angle_gamma 90.00
loop_
_atom_site_label
_atom_site_type_symbol
_atom_site_fract_x
_atom_site_fract_y
_atom_site_fract_z
Y1 Y 0.000 0.151 0.250
Zn1 Zn 0.000 0.431 0.250
```

Entry 2:
The following is a DFT calculation (meta-GGA SCAN) of a crystal of Y2ZrZn relaxed with PBEsol.

Computed properties:
energy of formation from the pure elements	-0.1	eV per formula unit
raw total energy	-25.003	eV per atom

Geometry as CIF:
```
data_Y2ZrZn
_space_group_name_H-M_alt 'I m m m'
_space_group_IT_number 71
_space_group_name_Hall '-I 2 2'
_cell_length_a 3.565
_cell_length_b 4.958
_cell_length_c 10.709
_cell_angle_alpha 90.00
_cell_angle_beta 90.00
_cell_angle_gamma 90.00
loop_
_atom_site_label
_atom_site_type_symbol
_atom_site_fract_x
_atom_site_fract_y
_atom_site_fract_z
Y1 Y 0.000 0.000 0.215
Zr1 Zr 0.000 0.500 0.000
Zn1 Zn 0.000 0.500 0.500
```

Entry 3:
The following is a DFT calculation (meta-GGA SCAN) of a crystal of Y2ZrZn relaxed with PBEsol.

Computed properties:
energy of formation from the pure elements	-0.5	eV per formula unit
raw total energy	-25.097	eV per atom

Geometry as CIF:
```
data_Y2ZrZn
_space_group_name_H-M_alt 'P 4 m m'
_space_group_IT_number 99
_cell_length_a 3.397
_cell_length_b 3.397
_cell_length_c 8.304
_cell_angle_alpha 90.00
_cell_angle_beta 90.00
_cell_angle_gamma 90.00
loop_
_space_group_symop_operation_xyz
'x,y,z'
'-y,x,z'
'-x,-y,z'
'y,-x,z'
'-x,y,z'
'y,x,z'
'x,-y,z'
'-y,-x,z'
loop_
_atom_site_label
_atom_site_type_symbol
_atom_site_fract_x
_atom_site_fract_y
_atom_site_fract_z
Y1 Y 0.000 0.000 0.000
Y2 Y 0.500 0.500 0.322
Zr1 Zr 0.500 0.500 0.735
Zn1 Zn 0.000 0.000 0.549
```

Entry 4:
The following is a DFT calculation (meta-GGA SCAN) of a crystal of Y2ZrZn relaxed with PBEsol.

Computed properties:
energy of formation from the pure elements	-0.6	eV per formula unit
raw total energy	-25.125	eV per atom

Geometry as CIF:
```
data_Y2ZrZn
_space_group_name_H-M_alt 'P 4/m m m'
_space_group_IT_number 123
_space_group_name_Hall '-P 4 2'
_cell_length_a 3.382
_cell_length_b 3.382
_cell_length_c 8.310
_cell_angle_alpha 90.00
_cell_angle_beta 90.00
_cell_angle_gamma 90.00
loop_
_atom_site_label
_atom_site_type_symbol
_atom_site_fract_x
_atom_site_fract_y
_atom_site_fract_z
Y1 Y 0.000 0.000 0.226
Zr1 Zr 0.500 0.500 0.500
Zn1 Zn 0.500 0.500 0.000
```

Entry 5:
The following is a DFT calculation (meta-GGA SCAN) of a crystal of Y2ZrZn relaxed with PBEsol.

Computed properties:
energy of formation from the pure elements	-0.6	eV per formula unit
raw total energy	-25.132	eV per atom

Geometry as CIF:
```
data_Y2ZrZn
_space_group_name_H-M_alt 'I m m 2'
_space_group_IT_number 44
_cell_length_a 3.459
_cell_length_b 5.062
_cell_length_c 10.933
_cell_angle_alpha 90.00
_cell_angle_beta 90.00
_cell_angle_gamma 90.00
loop_
_space_group_symop_operation_xyz
'x,y,z'
'-x,-y,z'
'-x,y,z'
'x,-y,z'
'x+1/2,y+1/2,z+1/2'
'-x+1/2,-y+1/2,z+1/2'
'-x+1/2,y+1/2,z+1/2'
'x+1/2,-y+1/2,z+1/2'
loop_
_atom_site_label
_atom_site_type_symbol
_atom_site_fract_x
_atom_site_fract_y
_atom_site_fract_z
Y1 Y 0.000 0.000 0.000
Y2 Y 0.000 0.500 0.211
Zr1 Zr 0.000 0.000 0.427
Zn1 Zn 0.000 0.500 0.725
```

Entry 6:
The following is a DFT calculation (meta-GGA SCAN) of a crystal of YZr2Zn2 relaxed with PBEsol.

Computed properties:
energy of formation from the pure elements	-1.0	eV per formula unit
raw total energy	-23.460	eV per atom

Geometry as CIF:
```
data_YZr2Zn2
_space_group_name_H-M_alt 'I 4/m m m'
_space_group_IT_number 139
_space_group_name_Hall '-I 4 2'
_cell_length_a 4.169
_cell_length_b 4.169
_cell_length_c 12.187
_cell_angle_alpha 90.00
_cell_angle_beta 90.00
_cell_angle_gamma 90.00
loop_
_atom_site_label
_atom_site_type_symbol
_atom_site_fract_x
_atom_site_fract_y
_atom_site_fract_z
Y1 Y 0.000 0.000 0.000
Zr1 Zr 0.000 0.500 0.250
Zn1 Zn 0.000 0.000 0.403
```

Entry 7:
The following is a DFT calculation (meta-GGA SCAN) of a crystal of Y8Zr relaxed with PBEsol.

Computed properties:
energy of formation from the pure elements	0.8	eV per formula unit
raw total energy	-28.074	eV per atom

Geometry as CIF:
```
data_Y8Zr
_space_group_name_H-M_alt 'I 4/m m m'
_space_group_IT_number 139
_space_group_name_Hall '-I 4 2'
_cell_length_a 10.389
_cell_length_b 10.389
_cell_length_c 4.881
_cell_angle_alpha 90.00
_cell_angle_beta 90.00
_cell_angle_gamma 90.00
loop_
_atom_site_label
_atom_site_type_symbol
_atom_site_fract_x
_atom_site_fract_y
_atom_site_fract_z
Y1 Y 0.000 0.327 0.000
Y2 Y 0.161 0.161 0.500
Zr1 Zr 0.000 0.000 0.000
```

Entry 8:
The following is a DFT calculation (meta-GGA SCAN) of a crystal of YZr7 relaxed with PBEsol.

Computed properties:
energy of formation from the pure elements	0.9	eV per formula unit
raw total energy	-30.226	eV per atom

Geometry as CIF:
```
data_YZr7
_space_group_name_H-M_alt 'F m -3 m'
_space_group_IT_number 225
_space_group_name_Hall '-F 4 2 3'
_cell_length_a 9.007
_cell_length_b 9.007
_cell_length_c 9.007
_cell_angle_alpha 90.00
_cell_angle_beta 90.00
_cell_angle_gamma 90.00
loop_
_atom_site_label
_atom_site_type_symbol
_atom_site_fract_x
_atom_site_fract_y
_atom_site_fract_z
Y1 Y 0.000 0.000 0.000
Zr1 Zr 0.000 0.000 0.500
Zr2 Zr 0.000 0.250 0.250
```

Entry 9:
The following is a DFT calculation (meta-GGA SCAN) of a crystal of YZr2 relaxed with PBEsol.

Computed properties:
energy of formation from the pure elements	0.3	eV per formula unit
raw total energy	-29.640	eV per atom

Geometry as CIF:
```
data_YZr2
_space_group_name_H-M_alt 'C 1 m 1'
_space_group_IT_number 8
_cell_length_a 11.962
_cell_length_b 3.280
_cell_length_c 7.737
_cell_angle_alpha 90.00
_cell_angle_beta 103.77
_cell_angle_gamma 90.00
loop_
_space_group_symop_operation_xyz
'x,y,z'
'x,-y,z'
'x+1/2,y+1/2,z'
'x+1/2,-y+1/2,z'
loop_
_atom_site_label
_atom_site_type_symbol
_atom_site_fract_x
_atom_site_fract_y
_atom_site_fract_z
Y1 Y 0.000 0.000 0.000
Y2 Y 0.176 0.500 0.343
Zr1 Zr 0.058 0.000 0.619
Zr2 Zr 0.229 0.500 0.938
Zr3 Zr 0.337 0.000 0.670
Zr4 Zr 0.397 0.000 0.295
```

Entry 10:
The following is a DFT calculation (meta-GGA SCAN) of a crystal of Y5Zr relaxed with PBEsol.

Computed properties:
polymorph energy (0 for the lowest one)	0.0	kJ per mole of atoms
energy of formation from the pure elements	0.4	eV per formula unit
raw total energy	-28.255	eV per atom

Geometry as CIF:
```
data_Y5Zr
_space_group_name_H-M_alt 'C 1 m 1'
_space_group_IT_number 8
_cell_length_a 12.604
_cell_length_b 3.490
_cell_length_c 8.171
_cell_angle_alpha 90.00
_cell_angle_beta 103.08
_cell_angle_gamma 90.00
loop_
_space_group_symop_operation_xyz
'x,y,z'
'x,-y,z'
'x+1/2,y+1/2,z'
'x+1/2,-y+1/2,z'
loop_
_atom_site_label
_atom_site_type_symbol
_atom_site_fract_x
_atom_site_fract_y
_atom_site_fract_z
Y1 Y 0.000 0.000 0.000
Y2 Y 0.054 0.000 0.590
Y3 Y 0.177 0.500 0.320
Y4 Y 0.232 0.500 0.942
Y5 Y 0.337 0.000 0.648
Zr1 Zr 0.393 0.000 0.268
```

Entry 11:
The following is a DFT calculation (meta-GGA SCAN) of a crystal of YZr relaxed with PBEsol.

Computed properties:
polymorph energy (0 for the lowest one)	4.5	kJ per mole of atoms
energy of formation from the pure elements	0.2	eV per formula unit
raw total energy	-29.165	eV per atom

Geometry as CIF:
```
data_YZr
_space_group_name_H-M_alt 'P -3 m 1'
_space_group_IT_number 164
_space_group_name_Hall '-P 3 2"'
_cell_length_a 3.3458
_cell_length_b 3.3458
_cell_length_c 10.7295
_cell_angle_alpha 90.00
_cell_angle_beta 90.00
_cell_angle_gamma 120.00
loop_
_atom_site_label
_atom_site_type_symbol
_atom_site_fract_x
_atom_site_fract_y
_atom_site_fract_z
Y1 Y 0.3333 0.6667 0.3603
Zr1 Zr 0.3333 0.6667 0.8859
```

Entry 12:
The following is a DFT calculation (meta-GGA SCAN) of a crystal of YZr relaxed with PBEsol.

Computed properties:
polymorph energy (0 for the lowest one)	5.4	kJ per mole of atoms
energy of formation from the pure elements	0.2	eV per formula unit
raw total energy	-29.156	eV per atom

Geometry as CIF:
```
data_YZr
_space_group_name_H-M_alt 'P n m a'
_space_group_IT_number 62
_cell_length_a 5.832
_cell_length_b 5.293
_cell_length_c 6.716
_cell_angle_alpha 90.00
_cell_angle_beta 90.00
_cell_angle_gamma 90.00
loop_
_space_group_symop_operation_xyz
'x,y,z'
'-x,-y,-z'
'-x+1/2,-y,z+1/2'
'x+1/2,y,-z+1/2'
'x+1/2,-y+1/2,-z+1/2'
'-x+1/2,y+1/2,z+1/2'
'-x,y+1/2,-z'
'x,-y+1/2,z'
loop_
_atom_site_label
_atom_site_type_symbol
_atom_site_fract_x
_atom_site_fract_y
_atom_site_fract_z
Y1 Y 0.091 0.250 0.126
Zr1 Zr 0.070 0.250 0.622
```